Entry 1:
Material: Pm4TlTe3
Method: DFT, PBE-GGA
State: optimized geometry

Geometry as CIF:
```
data_Pm4TlTe3
_chemical_formula_sum 'Pm8 Tl2 Te6'
_space_group_name_H-M_alt 'C m m m'
_space_group_IT_number 65
_space_group_name_Hall '-C 2 2'
_cell_length_a 8.998
_cell_length_b 12.659
_cell_length_c 4.474
_cell_angle_alpha 90.00
_cell_angle_beta 90.00
_cell_angle_gamma 90.00
loop_
_atom_site_label
_atom_site_type_symbol
_atom_site_fract_x
_atom_site_fract_y
_atom_site_fract_z
Pm1 Pm 0.000 0.245 0.000
Pm2 Pm 0.245 0.000 0.500
Tl1 Tl 0.000 0.000 0.000
Te1 Te 0.000 0.500 0.000
Te2 Te 0.250 0.250 0.500
```

For the volume, the calculation gives 510 Å³/cell. The uncorrected formation energy comes out at -1.176 eV/atom.



Entry 2:
Material: Pm3TmTl3Te8
Method: DFT, PBE-GGA
State: optimized geometry

Geometry as CIF:
```
data_Pm3TmTl3Te8
_chemical_formula_sum 'Pm6 Tm2 Tl6 Te16'
_space_group_name_H-M_alt 'C 1 2/m 1'
_space_group_IT_number 12
_cell_length_a 15.492
_cell_length_b 8.933
_cell_length_c 9.674
_cell_angle_alpha 90.00
_cell_angle_beta 122.29
_cell_angle_gamma 90.00
loop_
_space_group_symop_operation_xyz
'x,y,z'
'-x,-y,-z'
'-x,y,-z'
'x,-y,z'
'x+1/2,y+1/2,z'
'-x+1/2,-y+1/2,-z'
'-x+1/2,y+1/2,-z'
'x+1/2,-y+1/2,z'
loop_
_atom_site_label
_atom_site_type_symbol
_atom_site_fract_x
_atom_site_fract_y
_atom_site_fract_z
Pm1 Pm 0.000 0.000 0.000
Pm2 Pm 0.250 0.250 0.000
Tm1 Tm 0.000 0.500 0.000
Tl1 Tl 0.000 0.500 0.500
Tl2 Tl 0.250 0.250 0.500
Te1 Te 0.009 0.256 0.784
Te2 Te 0.235 0.500 0.216
Te3 Te 0.241 0.000 0.222
```

For the volume, the calculation gives 1132 Å³/cell. The uncorrected formation energy comes out at -1.057 eV/atom.



Entry 3:
Material: Pm3UTl3Te8
Method: DFT, PBE-GGA
State: optimized geometry

Geometry as CIF:
```
data_Pm3UTl3Te8
_chemical_formula_sum 'Pm9 U3 Tl9 Te24'
_space_group_name_H-M_alt 'R -3 m'
_space_group_IT_number 166
_space_group_name_Hall '-R 3 2"'
_cell_length_a 8.9912
_cell_length_b 8.9912
_cell_length_c 24.7483
_cell_angle_alpha 90.00
_cell_angle_beta 90.00
_cell_angle_gamma 120.00
loop_
_atom_site_label
_atom_site_type_symbol
_atom_site_fract_x
_atom_site_fract_y
_atom_site_fract_z
Pm1 Pm 0.0000 0.5000 0.0000
U1 U 0.0000 0.0000 0.0000
Tl1 Tl 0.0000 0.5000 0.5000
Te1 Te 0.0000 0.0000 0.2601
Te2 Te 0.0079 0.5040 0.7381
```

For the volume, the calculation gives 1733 Å³/cell. The uncorrected formation energy comes out at -0.973 eV/atom.



Entry 4:
Material: PmU3Tl3Te8
Method: DFT, PBE-GGA
State: optimized geometry

Geometry as CIF:
```
data_PmU3Tl3Te8
_chemical_formula_sum 'Pm3 U9 Tl9 Te24'
_space_group_name_H-M_alt 'R -3 m'
_space_group_IT_number 166
_space_group_name_Hall '-R 3 2"'
_cell_length_a 8.8448
_cell_length_b 8.8448
_cell_length_c 24.8362
_cell_angle_alpha 90.00
_cell_angle_beta 90.00
_cell_angle_gamma 120.00
loop_
_atom_site_label
_atom_site_type_symbol
_atom_site_fract_x
_atom_site_fract_y
_atom_site_fract_z
Pm1 Pm 0.0000 0.0000 0.0000
U1 U 0.0000 0.5000 0.0000
Tl1 Tl 0.0000 0.5000 0.5000
Te1 Te 0.0000 0.0000 0.2613
Te2 Te 0.0079 0.5040 0.2610
```

For the volume, the calculation gives 1683 Å³/cell. The uncorrected formation energy comes out at -0.690 eV/atom.



Entry 5:
Material: Pm3UTl4Te8
Method: DFT, PBE-GGA
State: optimized geometry

Geometry as CIF:
```
data_Pm3UTl4Te8
_chemical_formula_sum 'Pm9 U3 Tl12 Te24'
_space_group_name_H-M_alt 'R -3 m'
_space_group_IT_number 166
_space_group_name_Hall '-R 3 2"'
_cell_length_a 9.0407
_cell_length_b 9.0407
_cell_length_c 24.6344
_cell_angle_alpha 90.00
_cell_angle_beta 90.00
_cell_angle_gamma 120.00
loop_
_atom_site_label
_atom_site_type_symbol
_atom_site_fract_x
_atom_site_fract_y
_atom_site_fract_z
Pm1 Pm 0.0000 0.5000 0.0000
U1 U 0.0000 0.0000 0.0000
Tl1 Tl 0.0000 0.0000 0.5000
Tl2 Tl 0.0000 0.5000 0.5000
Te1 Te 0.0000 0.0000 0.2601
Te2 Te 0.0025 0.5013 0.7395
```

For the volume, the calculation gives 1744 Å³/cell. The uncorrected formation energy comes out at -0.930 eV/atom.



Entry 6:
Material: PmY3Tl4Te8
Method: DFT, PBE-GGA
State: optimized geometry

Geometry as CIF:
```
data_PmY3Tl4Te8
_chemical_formula_sum 'Pm3 Y9 Tl12 Te24'
_space_group_name_H-M_alt 'R -3 m'
_space_group_IT_number 166
_space_group_name_Hall '-R 3 2"'
_cell_length_a 8.9555
_cell_length_b 8.9555
_cell_length_c 24.5386
_cell_angle_alpha 90.00
_cell_angle_beta 90.00
_cell_angle_gamma 120.00
loop_
_atom_site_label
_atom_site_type_symbol
_atom_site_fract_x
_atom_site_fract_y
_atom_site_fract_z
Pm1 Pm 0.0000 0.0000 0.0000
Y1 Y 0.0000 0.5000 0.0000
Tl1 Tl 0.0000 0.0000 0.5000
Tl2 Tl 0.0000 0.5000 0.5000
Te1 Te 0.0000 0.0000 0.2623
Te2 Te 0.0050 0.5025 0.2614
```

For the volume, the calculation gives 1704 Å³/cell. The uncorrected formation energy comes out at -1.069 eV/atom.



Entry 7:
Material: Pm3YTl3Te8
Method: DFT, PBE-GGA
State: optimized geometry

Geometry as CIF:
```
data_Pm3YTl3Te8
_chemical_formula_sum 'Pm6 Y2 Tl6 Te16'
_space_group_name_H-M_alt 'C 1 2/m 1'
_space_group_IT_number 12
_cell_length_a 15.523
_cell_length_b 8.952
_cell_length_c 9.667
_cell_angle_alpha 90.00
_cell_angle_beta 122.39
_cell_angle_gamma 90.00
loop_
_space_group_symop_operation_xyz
'x,y,z'
'-x,-y,-z'
'-x,y,-z'
'x,-y,z'
'x+1/2,y+1/2,z'
'-x+1/2,-y+1/2,-z'
'-x+1/2,y+1/2,-z'
'x+1/2,-y+1/2,z'
loop_
_atom_site_label
_atom_site_type_symbol
_atom_site_fract_x
_atom_site_fract_y
_atom_site_fract_z
Pm1 Pm 0.000 0.000 0.000
Pm2 Pm 0.250 0.250 0.000
Y1 Y 0.000 0.500 0.000
Tl1 Tl 0.000 0.500 0.500
Tl2 Tl 0.250 0.250 0.500
Te1 Te 0.009 0.253 0.782
Te2 Te 0.237 0.500 0.218
Te3 Te 0.241 0.000 0.222
```

For the volume, the calculation gives 1134 Å³/cell. The uncorrected formation energy comes out at -1.067 eV/atom.



Entry 8:
Material: PmYTlTe
Method: DFT, PBE-GGA
State: optimized geometry

Geometry as CIF:
```
data_PmYTlTe
_chemical_formula_sum 'Pm1 Y1 Tl1 Te1'
_space_group_name_H-M_alt 'P 4/m m m'
_space_group_IT_number 123
_space_group_name_Hall '-P 4 2'
_cell_length_a 4.438
_cell_length_b 4.438
_cell_length_c 6.290
_cell_angle_alpha 90.00
_cell_angle_beta 90.00
_cell_angle_gamma 90.00
loop_
_atom_site_label
_atom_site_type_symbol
_atom_site_fract_x
_atom_site_fract_y
_atom_site_fract_z
Pm1 Pm 0.000 0.000 0.000
Y1 Y 0.500 0.500 0.500
Tl1 Tl 0.500 0.500 0.000
Te1 Te 0.000 0.000 0.500
```

For the volume, the calculation gives 124 Å³/cell. The uncorrected formation energy comes out at -0.826 eV/atom.



Entry 9:
Material: Pm2Tl3ZnTe6
Method: DFT, PBE-GGA
State: optimized geometry

Geometry as CIF:
```
data_Pm2Tl3ZnTe6
_chemical_formula_sum 'Pm4 Tl6 Zn2 Te12'
_space_group_name_H-M_alt 'C 1 2/m 1'
_space_group_IT_number 12
_cell_length_a 7.737
_cell_length_b 13.438
_cell_length_c 8.358
_cell_angle_alpha 90.00
_cell_angle_beta 109.02
_cell_angle_gamma 90.00
loop_
_space_group_symop_operation_xyz
'x,y,z'
'-x,-y,-z'
'-x,y,-z'
'x,-y,z'
'x+1/2,y+1/2,z'
'-x+1/2,-y+1/2,-z'
'-x+1/2,y+1/2,-z'
'x+1/2,-y+1/2,z'
loop_
_atom_site_label
_atom_site_type_symbol
_atom_site_fract_x
_atom_site_fract_y
_atom_site_fract_z
Pm1 Pm 0.000 0.162 0.000
Tl1 Tl 0.000 0.000 0.500
Tl2 Tl 0.000 0.321 0.500
Zn1 Zn 0.000 0.500 0.000
Te1 Te 0.223 0.345 0.208
Te2 Te 0.247 0.500 0.771
```

For the volume, the calculation gives 822 Å³/cell. The uncorrected formation energy comes out at -0.725 eV/atom.



Entry 10:
Material: PmTl2Zn2Te4
Method: DFT, PBE-GGA
State: optimized geometry

Geometry as CIF:
```
data_PmTl2Zn2Te4
_chemical_formula_sum 'Pm2 Tl4 Zn4 Te8'
_space_group_name_H-M_alt 'C 1 2/m 1'
_space_group_IT_number 12
_cell_length_a 15.962
_cell_length_b 4.345
_cell_length_c 8.576
_cell_angle_alpha 90.00
_cell_angle_beta 106.35
_cell_angle_gamma 90.00
loop_
_space_group_symop_operation_xyz
'x,y,z'
'-x,-y,-z'
'-x,y,-z'
'x,-y,z'
'x+1/2,y+1/2,z'
'-x+1/2,-y+1/2,-z'
'-x+1/2,y+1/2,-z'
'x+1/2,-y+1/2,z'
loop_
_atom_site_label
_atom_site_type_symbol
_atom_site_fract_x
_atom_site_fract_y
_atom_site_fract_z
Pm1 Pm 0.000 0.000 0.000
Tl1 Tl 0.131 0.000 0.542
Zn1 Zn 0.166 0.500 0.980
Te1 Te 0.014 0.500 0.741
Te2 Te 0.207 0.000 0.183
```

For the volume, the calculation gives 571 Å³/cell. The uncorrected formation energy comes out at -0.596 eV/atom.



Entry 11:
Material: Pm3ZrTl3Te8
Method: DFT, PBE-GGA
State: optimized geometry

Geometry as CIF:
```
data_Pm3ZrTl3Te8
_chemical_formula_sum 'Pm9 Zr3 Tl9 Te24'
_space_group_name_H-M_alt 'R -3 m'
_space_group_IT_number 166
_space_group_name_Hall '-R 3 2"'
_cell_length_a 8.8722
_cell_length_b 8.8722
_cell_length_c 24.8469
_cell_angle_alpha 90.00
_cell_angle_beta 90.00
_cell_angle_gamma 120.00
loop_
_atom_site_label
_atom_site_type_symbol
_atom_site_fract_x
_atom_site_fract_y
_atom_site_fract_z
Pm1 Pm 0.0000 0.5000 0.0000
Zr1 Zr 0.0000 0.0000 0.0000
Tl1 Tl 0.0000 0.5000 0.5000
Te1 Te 0.0000 0.0000 0.2597
Te2 Te 0.0197 0.5099 0.7367
```

For the volume, the calculation gives 1694 Å³/cell. The uncorrected formation energy comes out at -1.016 eV/atom.



Entry 12:
Material: Pm5Tm2Te12
Method: DFT, PBE-GGA
State: optimized geometry

Geometry as CIF:
```
data_Pm5Tm2Te12
_chemical_formula_sum 'Pm10 Tm4 Te24'
_space_group_name_H-M_alt 'C 1 2/m 1'
_space_group_IT_number 12
_cell_length_a 16.950
_cell_length_b 8.317
_cell_length_c 10.011
_cell_angle_alpha 90.00
_cell_angle_beta 103.09
_cell_angle_gamma 90.00
loop_
_space_group_symop_operation_xyz
'x,y,z'
'-x,-y,-z'
'-x,y,-z'
'x,-y,z'
'x+1/2,y+1/2,z'
'-x+1/2,-y+1/2,-z'
'-x+1/2,y+1/2,-z'
'x+1/2,-y+1/2,z'
loop_
_atom_site_label
_atom_site_type_symbol
_atom_site_fract_x
_atom_site_fract_y
_atom_site_fract_z
Pm1 Pm 0.000 0.000 0.000
Pm2 Pm 0.174 0.500 0.312
Pm3 Pm 0.210 0.500 0.855
Tm1 Tm 0.000 0.255 0.500
Te1 Te 0.013 0.500 0.726
Te2 Te 0.025 0.000 0.709
Te3 Te 0.146 0.254 0.063
Te4 Te 0.182 0.251 0.585
```

For the volume, the calculation gives 1375 Å³/cell. The uncorrected formation energy comes out at -1.190 eV/atom.